Entry 1:
# Nd2Ho4In5 | the Alexandria database | PBE | optimized geometry
# Total magnetic moment, μB/cell: 0.00
# Calculated formation energy, eV per atom: -0.149
# DOS at the Fermi energy, states/eV/atom: 0.8338
# E, eV/cell: -172.7
data_Nd2Ho4In5
_chemical_formula_sum 'Nd8 Ho16 In20'
_cell_length_a 6.368
_cell_length_b 10.586
_cell_length_c 20.595
_cell_angle_alpha 90.00
_cell_angle_beta 90.00
_cell_angle_gamma 90.00
_space_group_name_H-M_alt 'F m m m'
_space_group_IT_number 69
_space_group_name_Hall '-F 2 2'
loop_
_atom_site_label
_atom_site_type_symbol
_atom_site_fract_x
_atom_site_fract_y
_atom_site_fract_z
_atom_site_occupancy
Nd1 Nd 0.000 0.000 0.110 1
Ho1 Ho 0.000 0.169 0.373 1
In1 In 0.000 0.000 0.500 1
In2 In 0.250 0.250 0.000 1
In3 In 0.250 0.250 0.250 1



Entry 2:
# TaAlRh2 | the Alexandria database | PBE | optimized geometry
# Total magnetic moment, μB/cell: 0.00
# Calculated formation energy, eV per atom: -0.593
# DOS at the Fermi energy, states/eV/atom: 1.0950
# E, eV/cell: -32.7
data_TaAlRh2
_chemical_formula_sum 'Ta1 Al1 Rh2'
_cell_length_a 4.127
_cell_length_b 4.127
_cell_length_c 3.561
_cell_angle_alpha 90.00
_cell_angle_beta 90.00
_cell_angle_gamma 90.00
_space_group_name_H-M_alt 'P 4/m m m'
_space_group_IT_number 123
_space_group_name_Hall '-P 4 2'
loop_
_atom_site_label
_atom_site_type_symbol
_atom_site_fract_x
_atom_site_fract_y
_atom_site_fract_z
_atom_site_occupancy
Ta1 Ta 0.000 0.000 0.000 1
Al1 Al 0.500 0.500 0.000 1
Rh1 Rh 0.000 0.500 0.500 1